1.
This record from Alexandria describes a relaxed structure of MgBeIr3. The functional is PBE-GGA.

abc: 4.168 4.168 4.168
angles: 90.00 90.00 90.00
Fractional coordinates of all 5 atoms:
Mg1 0.000 0.000 0.000
Be1 0.500 0.500 0.500
Ir1 0.000 0.500 0.500
Ir2 0.500 0.000 0.500
Ir3 0.500 0.500 0.000

Output
density of states at the Fermi level: 6.47 states/eV/f.u.
size of the total moment: 0.0 μB per formula unit
density: 14.0 Mg/m³

---

2.
This record from Alexandria describes a relaxed structure of MgBeIr3. The functional is PBE-GGA.

abc: 4.454 4.454 4.454
angles: 90.00 90.00 90.00
Fractional coordinates of all 5 atoms:
Mg1 0.000 0.000 0.000
Be1 0.500 0.500 0.500
Ir1 0.000 0.000 0.500
Ir2 0.000 0.500 0.000
Ir3 0.500 0.000 0.000

Output
density of states at the Fermi level: 4.82 states/eV/f.u.
size of the total moment: 0.0 μB per formula unit
density: 11.5 Mg/m³

---

Calculated relative energies: 1 0; 2 1767, given in meV per atom